[1]
RbTeAu | PBE | optimized geometry

```
6
Lattice="4.778 0.000 0.000 -2.389 4.138 0.000 0.000 0.000 10.674" Properties=species:S:1:pos:R:3 pbc="T T T"
Te 0.000 2.759 8.005
Te 2.389 1.379 2.668
Au 2.389 1.379 8.005
Au 0.000 2.759 2.668
Rb 0.000 0.000 0.000
Rb 0.000 0.000 5.337
```

As for the crystal system: hexagonal. The calculation puts the total energy at -0.2310 Ry per atom.

[2]
SrZnOs2 | PBE | optimized geometry

```
4
Lattice="-5.340 1.463 8.331 -4.219 -1.115 9.000 -2.720 1.296 9.538" Properties=species:S:1:pos:R:3 pbc="T T T"
Os -12.246 1.639 26.796
Os -3.225 0.432 7.056
Sr -6.168 0.826 13.498
Zn -9.058 1.212 19.822
```

As for the crystal system: trigonal. The formation enthalpy at 0 K is 0.750 eV/atom.

[3]
Li2TlHAu | PBE | optimized geometry

```
5
Lattice="-4.098 1.022 -1.530 -1.730 -0.869 4.053 0.517 3.533 0.978" Properties=species:S:1:pos:R:3 pbc="T T T"
H 0.000 0.000 0.000
Tl -2.655 1.844 1.751
Au 0.258 1.767 0.489
Li -0.865 -0.434 2.027
Li -2.049 0.511 -0.765
```

As for the crystal system: tetragonal. For the offset from the most stable computed form, the calculation gives 0 meV/atom.

[4]
RbEuHg2 | PBE | optimized geometry

```
4
Lattice="-0.801 0.763 -3.884 0.158 -3.953 -0.809 -8.483 -0.671 1.618" Properties=species:S:1:pos:R:3 pbc="T T T"
Eu -0.321 -1.595 -2.346
Hg -6.784 -0.536 1.294
Hg -1.699 -0.134 0.324
Rb -4.563 -1.931 -1.538
```

As for the crystal system: tetragonal. The formation enthalpy at 0 K is -0.322 eV/atom.

[5]
KRb2LaTe | PBE | optimized geometry

```
5
Lattice="-0.050 -4.542 -6.499 -3.529 -4.016 2.834 -6.441 3.814 -2.616" Properties=species:S:1:pos:R:3 pbc="T T T"
K -5.010 -2.372 -3.141
Te -1.764 -2.008 1.417
Rb -3.220 1.907 -1.308
Rb -0.025 -2.271 -3.250
La 0.000 0.000 0.000
```

As for the crystal system: tetragonal. The calculation puts the total energy at -0.1667 Ry per atom.

[6]
NiPt2Pb | PBE | optimized geometry

```
4
Lattice="4.858 -0.032 -0.049 1.374 4.660 0.049 -3.088 -2.352 2.922" Properties=species:S:1:pos:R:3 pbc="T T T"
Ni 3.117 2.314 0.000
Pb 0.701 2.311 1.486
Pt 6.232 4.628 0.000
Pt 2.444 -0.035 1.437
```

As for the crystal system: tetragonal. The formation enthalpy at 0 K is 0.045 eV/atom.

[7]
LiAl2W | PBE | optimized geometry

```
4
Lattice="-2.059 -0.735 4.288 -2.166 -4.295 0.176 4.415 1.391 -1.319" Properties=species:S:1:pos:R:3 pbc="T T T"
Al -4.226 -5.030 4.464
Al -2.113 -2.515 2.232
Li 0.068 -2.709 0.545
W 0.122 -0.929 2.601
```

As for the crystal system: tetragonal. The formation enthalpy at 0 K is 0.051 eV/atom. For the offset from the most stable computed form, the calculation gives 136 meV/atom.

[8]
Ce2Ga3Ni2 | PBE | optimized geometry

```
7
Lattice="4.206 0.000 0.000 -2.103 4.947 -0.196 0.000 -2.527 6.202" Properties=species:S:1:pos:R:3 pbc="T T T"
Ce 2.103 2.948 1.188
Ce 0.000 -0.528 4.818
Ga 2.103 0.000 0.000
Ga 2.103 0.115 2.673
Ga 0.000 2.304 3.333
Ni 2.103 1.604 4.690
Ni 0.000 0.815 1.316
```

As for the crystal system: monoclinic. The formation enthalpy at 0 K is -0.533 eV/atom.

[9]
YCrFe | PBE | optimized geometry

```
3
Lattice="4.581 0.000 0.000 2.290 3.967 0.000 2.290 1.322 3.740" Properties=species:S:1:pos:R:3 pbc="T T T"
Cr 0.000 0.000 0.000
Fe 4.581 2.645 1.870
Y 2.290 1.322 0.935
```

As for the crystal system: cubic. The formation enthalpy at 0 K is 1.346 eV/atom. For the offset from the most stable computed form, the calculation gives 1169 meV/atom.

[10]
Tl5Cd12Bi3 | PBE | optimized geometry

```
80
Lattice="-14.971 2.463 -1.487 4.673 -9.611 -10.872 2.816 -6.067 13.699" Properties=species:S:1:pos:R:3 pbc="T T T"
Bi -9.124 -2.515 -3.480
Bi -9.242 -5.811 -7.742
Bi -0.349 -10.076 -0.149
Bi -2.103 -2.861 3.406
Bi -11.811 -0.563 0.765
Bi -1.989 -6.600 -3.928
Bi -5.492 -6.615 5.268
Bi 4.329 -12.652 0.576
Bi -5.379 -10.354 -2.066
Bi -7.132 -3.138 1.490
Bi 1.761 -7.403 9.083
Bi 1.642 -10.699 4.820
Tl 0.585 -4.813 -0.838
Tl 2.337 -4.805 -5.436
Tl 0.000 0.000 0.000
Tl -4.094 -2.237 -1.563
Tl -6.077 -1.802 6.106
Tl -5.149 -3.574 -6.179
Tl 2.689 -9.175 -3.202
Tl -8.180 -4.662 9.512
Tl -7.251 -6.434 -2.773
Tl -2.918 -4.828 8.358
Tl -4.564 -8.387 -7.017
Tl -3.741 -6.607 0.670
Tl -7.485 1.232 -0.744
Tl 1.408 -3.033 6.850
Tl -0.230 -6.780 4.113
Tl 0.698 -8.552 -8.172
Tl 3.744 -7.839 1.414
Tl -10.171 -4.039 4.543
Tl -3.388 -10.977 2.904
Tl -8.067 -8.402 2.178
Cd -10.092 0.050 -1.734
Cd -1.174 -7.174 -0.834
Cd -11.565 -2.781 -1.598
Cd -6.981 -1.679 -1.411
Cd -3.534 -9.606 0.302
Cd -10.841 -4.241 -5.388
Cd -0.253 -9.065 -3.237
Cd 3.510 -9.422 -8.082
Cd -2.384 -11.607 -1.906
Cd -7.714 -4.869 -5.223
Cd -8.478 -4.464 -0.960
Cd -7.993 -7.214 -10.395
Cd 2.890 -10.098 -0.414
Cd -3.141 -3.728 -3.917
Cd 3.991 -10.834 -5.258
Cd -3.867 -3.842 5.751
Cd 0.087 -2.770 1.223
Cd -3.190 -5.789 -6.837
Cd -7.476 -8.334 -7.449
Cd 0.022 -4.064 -3.629
Cd 1.165 -12.774 -0.158
Cd -4.476 -7.234 -2.200
Cd -8.338 -9.170 -2.708
Cd -7.395 -6.843 7.697
Cd -3.006 -5.980 3.541
Cd 0.856 -4.044 4.048
Cd -0.087 -6.371 -6.357
Cd -0.006 -4.880 8.789
Cd -8.647 -0.441 1.498
Cd -7.503 -9.151 4.970
Cd -4.292 -7.426 8.177
Cd -3.615 -9.373 -4.410
Cd -7.569 -10.445 0.118
Cd -11.473 -2.381 6.598
Cd -10.372 -3.116 1.754
Cd 0.511 -6.000 11.735
Cd -4.340 -9.486 5.257
Cd -5.097 -1.608 3.247
Cd 0.232 -8.346 6.563
Cd 0.996 -8.750 2.301
Cd -10.992 -3.793 9.422
Cd -7.229 -4.149 4.577
Cd -0.501 -11.535 2.751
Cd 3.359 -8.974 6.729
Cd -3.948 -3.608 1.039
Cd 4.083 -10.433 2.939
Cd -6.308 -6.040 2.175
Cd 2.610 -13.264 3.074
```

As for the crystal system: cubic. The formation enthalpy at 0 K is 0.192 eV/atom.

[11]
LaTlBr3 | PBE | optimized geometry

```
5
Lattice="-0.967 -5.352 2.253 4.074 -2.253 -3.603 4.138 0.967 4.074" Properties=species:S:1:pos:R:3 pbc="T T T"
Tl 0.000 0.000 0.000
Br 2.037 -1.127 -1.802
Br 2.069 0.484 2.037
Br -0.484 -2.676 1.127
La 3.623 -3.319 1.362
```

As for the crystal system: cubic. For the offset from the most stable computed form, the calculation gives 750 meV/atom.

[12]
CsSn2SbI8 | PBE | optimized geometry

```
12
Lattice="-3.545 3.939 -5.672 -7.737 -0.724 2.346 -1.949 8.869 5.196" Properties=species:S:1:pos:R:3 pbc="T T T"
Cs -0.974 4.435 2.598
Sn -6.511 8.015 2.251
Sn -6.721 4.070 -0.380
Sb 0.000 0.000 0.000
I -6.626 2.147 2.061
I -8.610 2.371 -2.115
I -4.680 4.567 -2.918
I -6.606 9.938 -0.190
I -4.621 9.713 3.986
I -8.551 7.517 4.789
I -8.700 6.029 0.662
I -4.531 6.055 1.209
```

As for the crystal system: triclinic. The calculation puts the total energy at -0.1974 Ry per atom.